No. 1
An optimized crystal structure of SbPtCl2, computed with PBE.

**Calculated total energy**: -3.612 eV per atom
**Space group**: P4mm
**Formation energy (no corrections)**: -0.15 eV/atom
**Total magnetization**: 0.00 μB/cell

Cell and atoms, written as extended XYZ:
```
4
Lattice="-1.3312 1.8119 2.5250 2.0094 -1.5936 2.2029 5.8947 5.8881 -1.1175" Properties=species:S:1:pos:R:3 pbc="T T T"
Sb 4.4650 4.2303 1.5818
Pt 3.1104 3.1069 -0.5897
Cl 5.4871 5.4809 -1.0402
Cl 2.3526 2.1204 1.9822
```

=====

No. 2
An optimized crystal structure of SbPtCl2, computed with PBE.

**Calculated total energy**: -3.055 eV per atom
**Space group**: Fm-3m
**Formation energy (no corrections)**: 0.41 eV/atom
**Total magnetization**: 0.00 μB/cell

Cell and atoms, written as extended XYZ:
```
4
Lattice="-1.6097 1.7466 4.2314 -4.4600 -1.1211 1.5485 -0.5760 -2.9740 3.7908" Properties=species:S:1:pos:R:3 pbc="T T T"
Sb 0.0000 0.0000 0.0000
Pt -3.3229 -1.1742 4.7853
Cl -1.6614 -0.5871 2.3927
Cl -4.9843 -1.7614 7.1780
```

=====

No. 3
An optimized crystal structure of SbPtCl, computed with PBE.

**Calculated total energy**: -4.447 eV per atom
**Space group**: P2_1/m
**Formation energy (no corrections)**: -0.44 eV/atom
**Total magnetization**: 0.00 μB/cell

Cell and atoms, written as extended XYZ:
```
6
Lattice="-2.0583 -4.7163 -1.0332 0.0993 -0.8668 3.7576 -6.8807 2.6959 1.4068" Properties=species:S:1:pos:R:3 pbc="T T T"
Sb -2.5750 -3.6447 1.7717
Sb -6.2647 0.7575 2.3595
Pt -7.8493 -1.1952 1.0986
Pt -0.9904 -1.6920 3.0326
Cl -6.0964 -2.3578 2.9109
Cl -2.7433 -0.5294 1.2203
```

=====

Q: Number 3 is which compound?
A: SbPtCl

=====

Q: Look up the total magnetization of the second one.
A: 0.00 μB/cell